Li2TbPm2Ge2 PBE-GGA relaxed; energy relative to the elements = -0.49 eV per atom; DFT total energy = -4.3741 eV/atom
1.0
4.4540 0.0000 0.0000
2.2270 3.8573 0.0000
2.2270 1.2858 9.4761
Li Tb Pm Ge
2 1 2 2
Cartesian
4.4540 2.5715 1.6680
4.4540 2.5715 7.8080
0.0000 0.0000 0.0000
2.2270 1.2858 5.9502
6.6810 3.8573 3.5258
6.6810 3.8573 7.6663
2.2270 1.2858 1.8098